# PBE-GGA NdThPd4, optimized geometry
# **Volume**: 127.0 Å³/f.u.
# **D(E_F)**: 0.327 states/eV per atom
# **ΔH_f (0 K)**: -0.8540 eV per atom
# **Calculated total energy**: -6.35 eV/atom
data_NdThPd4
_chemical_formula_sum 'Nd4 Th4 Pd16'
_space_group_name_H-M_alt 'C m c m'
_space_group_IT_number 63
_space_group_name_Hall '-C 2c 2'
_cell_length_a 4.238
_cell_length_b 20.431
_cell_length_c 5.865
_cell_angle_alpha 90.00
_cell_angle_beta 90.00
_cell_angle_gamma 90.00
loop_
_atom_site_label
_atom_site_type_symbol
_atom_site_fract_x
_atom_site_fract_y
_atom_site_fract_z
Nd1 Nd 0.000 0.223 0.250
Th1 Th 0.000 0.078 0.750
Pd1 Pd 0.000 0.070 0.250
Pd2 Pd 0.000 0.356 0.511
Pd3 Pd 0.000 0.500 0.000